No. 1
! Li2AlTe GGA-PBE optimized geometry; values from VASP
&SYSTEM
  ibrav = 0, nat = 8, ntyp = 3
/
ATOMIC_SPECIES
Li 6.94 Li.upf
Al 26.98 Al.upf
Te 127.60 Te.upf
CELL_PARAMETERS angstrom
-2.220 2.220 9.240
2.220 -2.220 9.240
2.220 2.220 -9.240
ATOMIC_POSITIONS angstrom
Li 3.329 1.105 -2.310
Li 1.105 1.110 2.310
Li -1.110 1.115 6.930
Li 1.115 1.110 11.551
Al 0.000 0.000 0.000
Al 0.000 2.220 4.620
Te 2.220 0.000 4.620
Te 0.000 0.000 9.240
! Fermi-level density of states (states/eV/f.u.): 2.60
! Relative energy among the computed polymorphs (eV/atom): 0.185

=====

No. 2
! LiAlTe2 GGA-PBE optimized geometry; values from VASP
&SYSTEM
  ibrav = 0, nat = 4, ntyp = 3
/
ATOMIC_SPECIES
Li 6.94 Li.upf
Al 26.98 Al.upf
Te 127.60 Te.upf
CELL_PARAMETERS angstrom
3.299 -4.010 0.000
3.299 4.010 0.000
-1.525 0.000 3.788
ATOMIC_POSITIONS angstrom
Li 0.000 0.000 0.000
Al 3.299 0.000 0.000
Te 0.887 2.005 1.894
Te 0.887 -2.005 1.894
! DFT total energy (eV/atom): -3.240
! Fermi-level density of states (states/eV/f.u.): 1.53